[1]
TbSi2Ir2 PBEsol relaxed; ΔE_f (raw) = -1.13 eV/atom
1.0
-2.1355 3.1143 1.4481
-3.3668 -1.5612 -1.6073
1.9199 -3.2925 4.2647
Si Ir Tb
2 2 1
direct
0.3788 0.3788 0.7576
0.6212 0.6212 0.2424
0.2500 0.7500 0.5000
0.7500 0.2500 0.5000
0.0000 0.0000 0.0000


[2]
NaSb2Rh2 PBEsol relaxed; ΔE_f (raw) = -0.38 eV/atom
1.0
-0.3626 -4.0879 -0.6656
3.8294 -0.0764 -1.6172
0.6122 0.9612 6.7485
Sb Rh Na
2 2 1
direct
0.3726 0.3726 0.7453
0.6274 0.6274 0.2547
0.2500 0.7500 0.5000
0.7500 0.2500 0.5000
0.0000 0.0000 0.0000


[3]
H3PtF PBEsol relaxed; energy = -18.53 eV per cell
1.0
3.3894 0.0000 0.0000
0.0000 3.3894 0.0000
0.0000 0.0000 3.3894
H F Pt
3 1 1
direct
0.0000 0.5000 0.0000
0.0000 0.0000 0.5000
0.5000 0.0000 0.0000
0.5000 0.5000 0.5000
0.0000 0.0000 0.0000